! RbErSnI6 GGA-PBE optimized geometry; values from VASP
! crystal system	trigonal
! electronic total energy	-29.0	eV per formula unit
! formation energy without anion corrections	-1.1278	eV per atom
! mass density	4.1	Mg/m³
&SYSTEM
  ibrav = 0, nat = 9, ntyp = 4
/
ATOMIC_SPECIES
Rb 85.47 Rb.upf
Er 167.26 Er.upf
Sn 118.71 Sn.upf
I 126.90 I.upf
ATOMIC_POSITIONS crystal
Rb 0.000 0.000 0.000
Er 0.667 0.333 0.500
Sn 0.333 0.667 0.500
I 0.378 0.017 0.719
I 0.378 0.361 0.281
I 0.639 0.017 0.281
I 0.639 0.622 0.719
I 0.983 0.361 0.719
I 0.983 0.622 0.281
CELL_PARAMETERS angstrom
8.075 0.000 0.000
-4.038 6.993 0.000
0.000 0.000 8.072